First-principles (PBE-GGA) data for a relaxed RbSmSI crystal, as listed in the Alexandria database.

Unit cell a=4.2277 b=4.2281 c=8.9266 alpha=90.01 beta=103.73 gamma=119.94
Fractional coordinates of all 4 atoms:
1 Rb 0.5006 0.1479 0.6639
2 Sm 0.1062 0.9515 0.0730
3 S 0.3310 0.5630 0.9089
4 I 0.9401 0.3683 0.3239

Formation energy without anion corrections, eV/atom: -1.41